A relaxed structure of TaVIn2. Source: Alexandria via LeMat-Bulk, functional PBE.

```
data_TaVIn2
_chemical_formula_sum 'Ta4 V4 In8'
_cell_length_a 7.546
_cell_length_b 7.546
_cell_length_c 5.699
_cell_angle_alpha 90.00
_cell_angle_beta 90.00
_cell_angle_gamma 90.00
_space_group_name_H-M_alt 'I -4 2 d'
_space_group_IT_number 122
_space_group_name_Hall 'I -4 2bw'
loop_
_atom_site_label
_atom_site_type_symbol
_atom_site_fract_x
_atom_site_fract_y
_atom_site_fract_z
Ta1 Ta 0.000 0.000 0.000
V1 V 0.000 0.000 0.500
In1 In 0.236 0.750 0.625
```

Energy of formation (eV/atom): 0.702
Polymorph energy (0 for the lowest one) (eV/f.u.): 0.99
Volume (A^3/atom): 20.28

***

A relaxed structure of Ta3V8In. Source: Alexandria via LeMat-Bulk, functional PBE.

```
data_Ta3V8In
_chemical_formula_sum 'Ta3 V8 In1'
_cell_length_a 5.0614
_cell_length_b 5.0614
_cell_length_c 8.2958
_cell_angle_alpha 90.00
_cell_angle_beta 90.00
_cell_angle_gamma 120.00
_space_group_name_H-M_alt 'P 3 m 1'
_space_group_IT_number 156
_space_group_name_Hall 'P 3 -2"'
loop_
_atom_site_label
_atom_site_type_symbol
_atom_site_fract_x
_atom_site_fract_y
_atom_site_fract_z
Ta1 Ta 0.0000 0.0000 0.0000
Ta2 Ta 0.0000 0.0000 0.3668
Ta3 Ta 0.3333 0.6667 0.8798
V1 V 0.0026 0.5013 0.1825
V2 V 0.3253 0.1627 0.6924
V3 V 0.6667 0.3333 0.4286
V4 V 0.6667 0.3333 0.9347
In1 In 0.3333 0.6667 0.5000
```

Energy of formation (eV/atom): -0.015
Volume (A^3/atom): 15.34

***

A relaxed structure of Ta3VIn. Source: Alexandria via LeMat-Bulk, functional PBE.

```
data_Ta3VIn
_chemical_formula_sum 'Ta3 V1 In1'
_cell_length_a 4.986
_cell_length_b 4.986
_cell_length_c 4.986
_cell_angle_alpha 90.00
_cell_angle_beta 90.00
_cell_angle_gamma 90.00
_space_group_name_H-M_alt 'P m -3 m'
_space_group_IT_number 221
_space_group_name_Hall '-P 4 2 3'
loop_
_atom_site_label
_atom_site_type_symbol
_atom_site_fract_x
_atom_site_fract_y
_atom_site_fract_z
Ta1 Ta 0.000 0.000 0.500
V1 V 0.500 0.500 0.500
In1 In 0.000 0.000 0.000
```

Energy of formation (eV/atom): 2.317
Polymorph energy (0 for the lowest one) (eV/f.u.): 6.56
Volume (A^3/atom): 24.78